DFT (PBE-GGA) results for crystalline CaAcGdHo at its relaxed geometry.

Unit cell a=5.9304 b=5.9304 c=5.9304 alpha=60.00 beta=60.00 gamma=60.00
Sites, in units of the cell vectors:
Ca (0.0000, 0.0000, 0.0000)
Ac (0.7500, 0.7500, 0.7500)
Gd (0.2500, 0.2500, 0.2500)
Ho (0.5000, 0.5000, 0.5000)

Values from the calculation:
DFT formation energy, eV per atom: 0.111
Magnetization, μB per atom: 1.919
Space-group type: No. 216